Record 1
Material: CdICl2
Method: DFT, GGA-PBE
State: relaxed

Properties
The formation energy (no corrections) is -0.761 eV/atom. The value obtained for the final energy is -2.300 eV per atom.

Cell: 4.0648 6.5529 10.8995 Å, 97.07 93.24 90.19°
Space group P1 (No. 1)
Unique sites:
Cd  0.0000  0.0000  0.0000
Cd  0.4997  0.4999  0.0006
I  0.1421  0.4386  0.4863
I  0.3599  0.0569  0.5133
Cl  0.0195  0.6940  0.1335
Cl  0.4800  0.8058  0.8670
Cl  0.5201  0.1927  0.1328
Cl  0.9795  0.3070  0.8677

Record 2
Material: Pu2Co2Au
Method: DFT, GGA-PBE
State: relaxed

Properties
The calculation puts the calculated formation energy at -0.20 eV per atom. The value obtained for the final energy is -9.434 eV per atom.

Cell: 3.7301 13.7902 3.6941 Å, 90.00 90.00 90.00°
Space group Cmmm (No. 65)
Unique sites:
Pu  0.0000  0.1347  0.0000
Co  0.0000  0.3058  0.5000
Au  0.0000  0.5000  0.5000

Record 3
Material: BRuF2
Method: DFT, GGA-PBE
State: relaxed

Properties
The formation energy (no corrections) is 0.108 eV/atom. The value obtained for the final energy is -4.816 eV per atom.

Cell: 2.6048 2.6048 22.7876 Å, 90.00 90.00 120.00°
Space group R-3m (No. 166, hexagonal axes)
Unique sites:
B  0.0000  0.0000  0.0000
Ru  0.0000  0.0000  0.5000
F  0.0000  0.0000  0.4134

Record 4
Material: Ti2CuNi
Method: DFT, GGA-PBE
State: relaxed

Properties
The calculation puts the calculated formation energy at -0.07 eV per atom. The value obtained for the final energy is -6.490 eV per atom.

Cell: 15.5445 2.5956 2.8196 Å, 90.00 90.10 90.00°
Space group Cm (No. 8)
Unique sites:
Ti  0.0000  0.0000  0.0000
Ti  0.2296  0.0000  0.0008
Cu  0.3549  0.5000  0.5012
Ni  0.1131  0.5000  0.5002

Record 5
Material: Sr2LiZn
Method: DFT, GGA-PBE
State: relaxed

Properties
The calculation puts the calculated formation energy at 0.05 eV per atom. The value obtained for the final energy is -1.584 eV per atom.

Cell: 4.2878 4.2878 29.0002 Å, 90.00 90.00 120.00°
Space group R3m (No. 160, hexagonal axes)
Unique sites:
Sr  0.0000  0.0000  0.0000
Sr  0.0000  0.0000  0.1870
Li  0.0000  0.0000  0.7589
Zn  0.0000  0.0000  0.5938

Record 6
Material: Nb3SnBi
Method: DFT, GGA-PBE
State: relaxed

Properties
The calculation puts the calculated formation energy at 1.45 eV per atom. The value obtained for the final energy is -6.167 eV per atom.

Cell: 5.0920 5.0920 5.0920 Å, 90.00 90.00 90.00°
Space group Pm-3m (No. 221)
Unique sites:
Nb  0.0000  0.0000  0.5000
Sn  0.0000  0.0000  0.0000
Bi  0.5000  0.5000  0.5000

Record 7
Material: Na2TlWS4
Method: DFT, GGA-PBE
State: relaxed

Properties
The formation energy (no corrections) is -0.690 eV/atom. The value obtained for the final energy is -4.999 eV per atom.

Cell: 7.2655 7.2655 8.3126 Å, 90.00 90.00 90.00°
Space group I-42m (No. 121)
Unique sites:
Na  0.0000  0.5000  0.2500
Tl  0.0000  0.0000  0.0000
W  0.0000  0.0000  0.5000
S  0.1789  0.1789  0.3443

Record 8
Material: Ag2Pd7Pt2
Method: DFT, GGA-PBE
State: relaxed

Properties
The calculation puts the calculated formation energy at 0.31 eV per atom. The value obtained for the final energy is -4.614 eV per atom.

Cell: 5.2613 9.5497 7.6424 Å, 90.00 90.00 90.00°
Space group Cmmm (No. 65)
Unique sites:
Ag  0.0000  0.2278  0.0000
Pd  0.0000  0.0000  0.1956
Pd  0.0000  0.5000  0.0000
Pd  0.2500  0.2500  0.3236
Pt  0.2433  0.5000  0.5000